{
  "formula": "TaMo",
  "functional": "meta-GGA SCAN",
  "state": "PBEsol geometry",
  "cell": [[3.190, 0.000, 0.000], [0.000, 4.534, 0.000], [0.000, 0.000, 9.018]],
  "species": ["Ta", "Ta", "Ta", "Ta", "Mo", "Mo", "Mo", "Mo"],
  "frac_coords": [[0.000, 0.000, 0.000], [0.000, 0.000, 0.485], [0.500, 0.000, 0.742], [0.500, 0.500, 0.993], [0.000, 0.500, 0.246], [0.000, 0.500, 0.736], [0.500, 0.000, 0.243], [0.500, 0.500, 0.491]],
  "final_energy_ev_per_atom": -50.86,
  "total_magnetization_mub_per_cell": 0.00,
  "ef_ev_per_atom": -0.13
}


{
  "formula": "HfBeSeN2",
  "functional": "meta-GGA SCAN",
  "state": "PBEsol geometry",
  "cell": [[3.959, 0.000, 0.000], [0.000, 3.959, 0.000], [0.000, 0.000, 5.566]],
  "species": ["Hf", "Be", "Se", "N", "N"],
  "frac_coords": [[0.000, 0.000, 0.000], [0.500, 0.500, 0.500], [0.000, 0.000, 0.500], [0.000, 0.500, 0.000], [0.500, 0.000, 0.000]],
  "raw_formation_energy_ev_per_fu": 2.24,
  "final_energy_ev_per_atom": -20.69,
  "total_magnetization_mub_per_cell": 0.00
}


{
  "formula": "MgNiPb2",
  "functional": "meta-GGA SCAN",
  "state": "PBEsol geometry",
  "cell": [[13.274, 0.000, 0.000], [0.000, 3.217, 0.000], [-1.413, 0.000, 4.103]],
  "species": ["Mg", "Mg", "Ni", "Ni", "Pb", "Pb", "Pb", "Pb"],
  "frac_coords": [[0.000, 0.000, 0.000], [0.500, 0.500, 0.000], [0.184, 0.500, 0.184], [0.684, 0.000, 0.184], [0.168, 0.000, 0.668], [0.370, 0.000, 0.370], [0.668, 0.500, 0.668], [0.870, 0.500, 0.370]],
  "final_energy_ev_per_atom": -43.12,
  "total_magnetization_mub_per_cell": 0.00,
  "ef_ev_per_atom": 0.06
}


{
  "formula": "BaZn3Tc",
  "functional": "meta-GGA SCAN",
  "state": "PBEsol geometry",
  "cell": [[5.579, 0.000, 0.000], [0.000, 5.579, 0.000], [0.000, 0.000, 5.579]],
  "species": ["Ba", "Zn", "Zn", "Zn", "Tc"],
  "frac_coords": [[0.000, 0.000, 0.000], [0.000, 0.000, 0.500], [0.000, 0.500, 0.000], [0.500, 0.000, 0.000], [0.500, 0.500, 0.500]],
  "final_energy_ev_per_atom": -21.19,
  "total_magnetization_mub_per_cell": 4.08,
  "ef_ev_per_atom": 1.84
}


{
  "formula": "Co2NiW",
  "functional": "meta-GGA SCAN",
  "state": "PBEsol geometry",
  "cell": [[3.610, 0.000, 0.000], [0.000, 3.610, 0.000], [0.000, 0.000, 3.462]],
  "species": ["Co", "Co", "Ni", "W"],
  "frac_coords": [[0.000, 0.500, 0.000], [0.500, 0.000, 0.000], [0.000, 0.000, 0.500], [0.500, 0.500, 0.500]],
  "final_energy_ev_per_atom": -29.99,
  "total_magnetization_mub_per_cell": 0.00,
  "ef_ev_per_atom": 0.13
}


{
  "formula": "Cd3CuB",
  "functional": "meta-GGA SCAN",
  "state": "PBEsol geometry",
  "cell": [[4.820, 0.000, 0.000], [0.000, 4.820, 0.000], [0.000, 0.000, 4.820]],
  "species": ["Cd", "Cd", "Cd", "Cu", "B"],
  "frac_coords": [[0.000, 0.000, 0.500], [0.000, 0.500, 0.000], [0.500, 0.000, 0.000], [0.000, 0.000, 0.000], [0.500, 0.500, 0.500]],
  "final_energy_ev_per_atom": -21.65,
  "total_magnetization_mub_per_cell": 0.00,
  "ef_ev_per_atom": 1.13
}


{
  "formula": "Y2Ga2Sn",
  "functional": "meta-GGA SCAN",
  "state": "PBEsol geometry",
  "cell": [[7.155, 0.000, 0.000], [0.000, 7.155, 0.000], [0.000, 0.000, 4.316]],
  "species": ["Y", "Y", "Y", "Y", "Ga", "Ga", "Ga", "Ga", "Sn", "Sn"],
  "frac_coords": [[0.174, 0.326, 0.000], [0.326, 0.826, 0.000], [0.674, 0.174, 0.000], [0.826, 0.674, 0.000], [0.123, 0.623, 0.500], [0.377, 0.123, 0.500], [0.623, 0.877, 0.500], [0.877, 0.377, 0.500], [0.000, 0.000, 0.500], [0.500, 0.500, 0.500]],
  "final_energy_ev_per_atom": -25.67,
  "total_magnetization_mub_per_cell": 0.00,
  "ef_ev_per_atom": -0.81
}


{
  "formula": "ZnTe3",
  "functional": "meta-GGA SCAN",
  "state": "PBEsol geometry",
  "cell": [[3.888, 0.000, 0.000], [-1.944, 3.367, 0.000], [0.000, 0.000, 7.982]],
  "species": ["Zn", "Te", "Te", "Te"],
  "frac_coords": [[0.000, 0.000, 0.000], [0.000, 0.000, 0.500], [0.667, 0.333, 0.210], [0.667, 0.333, 0.790]],
  "raw_formation_energy_ev_per_fu": 0.40,
  "final_energy_ev_per_atom": -31.22,
  "total_magnetization_mub_per_cell": 0.00
}


{
  "formula": "Hf3PdN",
  "functional": "meta-GGA SCAN",
  "state": "PBEsol geometry",
  "cell": [[4.336, 0.000, 0.000], [0.000, 4.336, 0.000], [0.000, 0.000, 4.336]],
  "species": ["Hf", "Hf", "Hf", "Pd", "N"],
  "frac_coords": [[0.000, 0.000, 0.500], [0.000, 0.500, 0.000], [0.500, 0.000, 0.000], [0.500, 0.500, 0.500], [0.000, 0.000, 0.000]],
  "raw_formation_energy_ev_per_fu": -5.46,
  "final_energy_ev_per_atom": -47.11,
  "total_magnetization_mub_per_cell": 0.00
}


{
  "formula": "TaTcNi2",
  "functional": "meta-GGA SCAN",
  "state": "PBEsol geometry",
  "cell": [[3.118, 0.000, 0.000], [0.000, 3.118, 0.000], [0.000, 0.000, 5.392]],
  "species": ["Ta", "Tc", "Ni", "Ni"],
  "frac_coords": [[0.000, 0.000, 0.000], [0.500, 0.500, 0.288], [0.000, 0.000, 0.519], [0.500, 0.500, 0.750]],
  "final_energy_ev_per_atom": -33.64,
  "total_magnetization_mub_per_cell": 0.00,
  "ef_ev_per_atom": -0.14
}


{
  "formula": "KBI2O",
  "functional": "meta-GGA SCAN",
  "state": "PBEsol geometry",
  "cell": [[6.145, 0.000, 0.000], [0.000, 6.145, 0.000], [0.000, 0.000, 3.080]],
  "species": ["K", "B", "I", "I", "O"],
  "frac_coords": [[0.000, 0.000, 0.000], [0.500, 0.500, 0.500], [0.000, 0.500, 0.500], [0.500, 0.000, 0.500], [0.500, 0.500, 0.000]],
  "raw_formation_energy_ev_per_fu": -2.08,
  "final_energy_ev_per_atom": -19.51,
  "total_magnetization_mub_per_cell": 0.00
}


{
  "formula": "CaHg4Sb",
  "functional": "meta-GGA SCAN",
  "state": "PBEsol geometry",
  "cell": [[0.000, 4.203, 4.203], [4.203, 0.000, 4.203], [4.203, 4.203, 0.000]],
  "species": ["Ca", "Hg", "Hg", "Hg", "Hg", "Sb"],
  "frac_coords": [[0.000, 0.000, 0.000], [0.375, 0.375, 0.375], [0.375, 0.375, 0.875], [0.375, 0.875, 0.375], [0.875, 0.375, 0.375], [0.750, 0.750, 0.750]],
  "raw_formation_energy_ev_per_fu": -0.85,
  "final_energy_ev_per_atom": -53.41,
  "total_magnetization_mub_per_cell": 0.00
}


{
  "formula": "InBIr2Pd",
  "functional": "meta-GGA SCAN",
  "state": "PBEsol geometry",
  "cell": [[4.831, 0.000, 0.000], [0.000, 4.831, 0.000], [0.000, 0.000, 4.775]],
  "species": ["In", "B", "Ir", "Ir", "Pd"],
  "frac_coords": [[0.000, 0.000, 0.000], [0.500, 0.500, 0.500], [0.000, 0.500, 0.000], [0.500, 0.000, 0.000], [0.000, 0.000, 0.500]],
  "final_energy_ev_per_atom": -40.45,
  "total_magnetization_mub_per_cell": 1.40,
  "ef_ev_per_atom": 2.71
}